(1)
Here is a geometry-optimized Ca2VSn structure from Alexandria. Energies are from PBE.

Energy relative to the lowest polymorph listed for this composition (eV per atom): 0.000
SG: No. 225
Energy relative to the elements (meV per atom): 27
E (eV per atom): -4.2537

Geometry as POSCAR:
```
Ca2VSn
1.0
0.0000 3.7575 3.7575
3.7575 0.0000 3.7575
3.7575 3.7575 0.0000
V Ca Sn
1 2 1
Direct
0.0000 0.0000 0.0000
0.7500 0.7500 0.7500
0.2500 0.2500 0.2500
0.5000 0.5000 0.5000
```

(2)
Here is a geometry-optimized Ca2VSn2 structure from Alexandria. Energies are from PBE.

SG: No. 127
Energy relative to the elements (meV per atom): -265
E (eV per atom): -4.4902

Geometry as POSCAR:
```
Ca2VSn2
1.0
-0.1346 6.3739 3.9719
-4.0988 -3.3910 5.3029
4.0117 -1.3211 2.2559
Sn V Ca
4 2 4
Direct
0.6405 0.1405 0.0000
0.8595 0.6405 0.0000
0.3595 0.8595 0.0000
0.1405 0.3595 0.0000
0.5000 0.5000 0.0000
0.0000 0.0000 0.0000
0.3313 0.1687 0.5000
0.8313 0.3313 0.5000
0.1687 0.6687 0.5000
0.6687 0.8313 0.5000
```

(3)
Here is a geometry-optimized Ca2VSn structure from Alexandria. Energies are from PBE.

Energy relative to the lowest polymorph listed for this composition (eV per atom): 0.390
SG: No. 122
Energy relative to the elements (meV per atom): 417
E (eV per atom): -3.8638

Geometry as POSCAR:
```
Ca2VSn
1.0
8.5216 0.0000 0.0000
0.0000 8.5216 0.0000
4.2608 4.2608 3.0906
Sn V Ca
2 2 4
Direct
0.0000 0.0000 0.0000
0.7500 0.2500 0.5000
0.5000 0.5000 0.0000
0.2500 0.7500 0.5000
0.8750 0.8644 0.7500
0.1356 0.6250 0.2500
0.3750 0.3856 0.7500
0.6144 0.1250 0.2500
```

(4)
Here is a geometry-optimized Ca3VSn structure from Alexandria. Energies are from PBE.

Energy relative to the lowest polymorph listed for this composition (eV per atom): 0.054
SG: No. 221
Energy relative to the elements (meV per atom): 548
E (eV per atom): -3.2769

Geometry as POSCAR:
```
Ca3VSn
1.0
-1.1317 0.1973 -5.5296
4.0394 -3.8278 -0.9633
-3.7814 -4.1480 0.6260
Ca V Sn
3 1 1
Direct
0.5000 0.0000 0.0000
0.0000 0.0000 0.5000
0.0000 0.5000 0.0000
0.0000 0.0000 0.0000
0.5000 0.5000 0.5000
```

(5)
Here is a geometry-optimized Ca2SnW structure from Alexandria. Energies are from PBE.

SG: No. 122
Energy relative to the elements (meV per atom): 847
E (eV per atom): -4.3932

Geometry as POSCAR:
```
Ca2SnW
1.0
8.4404 0.0000 0.0000
0.0000 8.4404 0.0000
4.2202 4.2202 2.9030
Sn Ca W
2 4 2
Direct
0.2500 0.7500 0.5000
0.5000 0.5000 0.0000
0.8750 0.8895 0.7500
0.3750 0.3605 0.7500
0.1105 0.6250 0.2500
0.6395 0.1250 0.2500
0.0000 0.0000 0.0000
0.7500 0.2500 0.5000
```

(6)
Here is a geometry-optimized CaSnW2 structure from Alexandria. Energies are from PBE.

SG: No. 122
Energy relative to the elements (meV per atom): 1289
E (eV per atom): -6.6887

Geometry as POSCAR:
```
CaSnW2
1.0
-7.3902 3.2025 -0.8655
-2.4277 -6.6612 -3.9185
-5.6725 -2.8491 -0.0155
Sn Ca W
2 2 4
Direct
0.7500 0.2500 0.5000
0.0000 0.0000 0.0000
0.5000 0.5000 0.0000
0.2500 0.7500 0.5000
0.8750 0.9154 0.7500
0.3750 0.3346 0.7500
0.0846 0.6250 0.2500
0.6654 0.1250 0.2500
```

(7)
Here is a geometry-optimized CaSn3W structure from Alexandria. Energies are from PBE.

Energy relative to the lowest polymorph listed for this composition (eV per atom): 0.000
SG: No. 221
Energy relative to the elements (meV per atom): 227
E (eV per atom): -5.1657

Geometry as POSCAR:
```
CaSn3W
1.0
5.2993 0.0000 0.0000
0.0000 5.2993 0.0000
0.0000 0.0000 5.2993
Ca Sn W
1 3 1
Direct
0.5000 0.5000 0.5000
0.0000 0.5000 0.0000
0.5000 0.0000 0.0000
0.0000 0.0000 0.5000
0.0000 0.0000 0.0000
```

(8)
Here is a geometry-optimized CaSn2W structure from Alexandria. Energies are from PBE.

Energy relative to the lowest polymorph listed for this composition (eV per atom): 0.000
SG: No. 225
Energy relative to the elements (meV per atom): 317
E (eV per atom): -5.4226

Geometry as POSCAR:
```
CaSn2W
1.0
-2.5923 -1.4386 4.0049
-4.4510 -2.1688 -0.5603
-0.5518 -4.8501 1.0004
Sn Ca W
2 1 1
Direct
0.7500 0.7500 0.7500
0.2500 0.2500 0.2500
0.0000 0.0000 0.0000
0.5000 0.5000 0.5000
```

(9)
Here is a geometry-optimized CaSn2W structure from Alexandria. Energies are from PBE.

Energy relative to the lowest polymorph listed for this composition (eV per atom): 0.346
SG: No. 122
Energy relative to the elements (meV per atom): 664
E (eV per atom): -5.0765

Geometry as POSCAR:
```
CaSn2W
1.0
5.2609 0.0000 0.0000
0.0000 5.2609 0.0000
2.6305 2.6305 9.0521
Ca Sn W
2 4 2
Direct
0.2500 0.7500 0.5000
0.5000 0.5000 0.0000
0.7493 0.1250 0.2500
0.3750 0.2507 0.7500
0.0007 0.6250 0.2500
0.8750 0.9993 0.7500
0.7500 0.2500 0.5000
0.0000 0.0000 0.0000
```

(10)
Here is a geometry-optimized CaZnSn2W structure from Alexandria. Energies are from PBE.

SG: No. 123
Energy relative to the elements (meV per atom): 561
E (eV per atom): -4.2860

Geometry as POSCAR:
```
CaZnSn2W
1.0
-0.1786 4.4265 -2.8539
-4.9807 1.2904 2.3133
2.4679 2.5930 3.8673
W Sn Zn Ca
1 2 1 1
Direct
0.0000 0.0000 0.0000
0.0000 0.0000 0.5000
0.5000 0.0000 0.0000
0.5000 0.5000 0.5000
0.0000 0.5000 0.0000
```

(11)
Here is a geometry-optimized Ca2YSn structure from Alexandria. Energies are from PBE.

SG: No. 166
Energy relative to the elements (meV per atom): 86
E (eV per atom): -3.5319

Geometry as POSCAR:
```
Ca2YSn
1.0
3.6261 0.0000 0.0000
1.8131 3.1403 0.0000
1.8131 1.0468 12.4346
Y Sn Ca
1 1 2
Direct
0.5000 0.5000 0.5000
0.0000 0.0000 0.0000
0.9146 0.9146 0.2562
0.0854 0.0854 0.7438
```

(12)
Here is a geometry-optimized Ca2Y2Sn structure from Alexandria. Energies are from PBE.

SG: No. 127
Energy relative to the elements (meV per atom): -79
E (eV per atom): -4.2656

Geometry as POSCAR:
```
Ca2Y2Sn
1.0
-0.4255 7.6581 -2.3608
1.4840 -2.2479 -7.5595
-5.4270 -0.5771 -0.8938
Sn Ca Y
2 4 4
Direct
0.5000 0.5000 0.0000
0.0000 0.0000 0.0000
0.8385 0.3385 0.5000
0.3385 0.1615 0.5000
0.1615 0.6615 0.5000
0.6615 0.8385 0.5000
0.6492 0.1492 0.0000
0.1492 0.3508 0.0000
0.3508 0.8508 0.0000
0.8508 0.6492 0.0000
```